NaTiW2O8 (PBE with a Hubbard U, relaxed); total energy = -89.3 eV per cell; space-group type = No. 65
1.0
4.813 0.097 -0.004
0.161 4.812 -0.006
0.005 0.007 6.203
W O Na Ti
2 8 1 1
direct
0.500 0.500 0.755
0.500 0.500 0.245
0.296 0.296 0.000
0.787 0.213 0.215
0.213 0.787 0.215
0.213 0.787 0.785
0.704 0.704 0.000
0.672 0.672 0.500
0.787 0.213 0.785
0.328 0.328 0.500
0.000 0.000 0.500
0.000 0.000 0.000